First-principles (GGA+U) data for crystalline FeAgPO2 at its relaxed geometry, as listed in Alexandria.

The space group is P4/mmm (No. 123) and the conventional cell measures 4.011, 4.011 and 4.909 Å, with angles of 90.00, 90.00 and 90.00 degrees. The asymmetric unit holds Fe at (0.000, 0.000, 0.000), Ag at (0.500, 0.500, 0.500), P at (0.500, 0.500, 0.000) and O at (0.000, 0.500, 0.500).

The polymorph energy (0 for the lowest one) is 782 meV/atom. Its spin magnetization is 4.73 μB per cell.